1.
NbZnAs | GGA-PBE | optimized geometry

Cell and atoms, written as POSCAR:
```
NbZnAs
1.0
3.569 0.000 0.000
0.000 3.569 0.000
0.000 0.000 8.180
Nb Zn As
2 2 2
Cartesian
0.892 0.892 1.811
2.677 2.677 6.369
0.892 2.677 4.090
2.677 0.892 4.090
0.892 0.892 7.188
2.677 2.677 0.991
```

Calculated values
The formation energy comes out at -0.2017 eV/atom. The total energy comes out at -33.2 eV/cell.



2.
CaPrEr2Bi4 | GGA-PBE | optimized geometry

Cell and atoms, written as POSCAR:
```
CaPrEr2Bi4
1.0
6.420 0.000 0.000
0.000 6.420 0.000
0.000 0.000 12.822
Ca Pr Er Bi
2 2 4 8
Cartesian
0.000 0.000 0.000
3.210 3.210 6.411
0.000 0.000 6.411
3.210 3.210 0.000
0.000 3.210 3.206
0.000 3.210 9.617
3.210 0.000 3.206
3.210 0.000 9.617
0.000 0.000 3.199
0.000 0.000 9.623
0.000 3.210 0.000
0.000 3.210 6.411
3.210 0.000 0.000
3.210 0.000 6.411
3.210 3.210 3.212
3.210 3.210 9.610
```

Calculated values
The formation energy comes out at -0.7832 eV/atom. The total energy comes out at -75.4 eV/cell.



3.
HfPbSN2 | GGA-PBE | optimized geometry

Cell and atoms, written as POSCAR:
```
HfPbSN2
1.0
4.203 0.000 0.000
0.000 4.203 0.000
0.000 0.000 5.228
Hf Pb S N
1 1 1 2
Cartesian
0.000 0.000 0.000
2.102 2.102 2.614
0.000 0.000 2.614
0.000 2.102 0.000
2.102 0.000 0.000
```

Calculated values
The value obtained for the uncorrected formation energy is -0.0989 eV per atom. The total energy comes out at -34.9 eV/cell.



4.
HoHfCr2S6 | GGA-PBE | optimized geometry

Cell and atoms, written as POSCAR:
```
HoHfCr2S6
1.0
3.184 1.838 5.799
-3.184 1.838 5.799
0.000 -3.676 5.799
Ho Hf Cr S
1 1 2 6
Cartesian
0.000 0.000 0.000
0.000 0.000 8.814
0.000 0.000 3.340
0.000 0.000 12.106
-1.082 -1.972 7.644
-1.919 0.242 10.482
-1.167 1.923 7.644
0.749 -1.783 10.482
2.249 0.049 7.644
1.169 1.541 10.482
```

Calculated values
The value obtained for the uncorrected formation energy is -1.1980 eV per atom. The total energy comes out at -70.5 eV/cell.



5.
AlPbW | GGA-PBE | optimized geometry

Cell and atoms, written as POSCAR:
```
AlPbW
1.0
3.836 0.000 0.000
0.000 4.578 0.000
0.000 0.000 13.918
Al Pb W
4 4 4
Cartesian
0.000 0.000 0.000
0.000 2.289 6.959
1.918 0.000 6.959
1.918 2.289 0.000
0.000 0.000 9.710
0.000 2.289 2.751
1.918 0.000 2.751
1.918 2.289 9.710
0.000 0.000 5.144
0.000 2.289 12.103
1.918 0.000 12.103
1.918 2.289 5.144
```

Calculated values
The formation energy comes out at 0.6550 eV/atom. The total energy comes out at -73.8 eV/cell.



6.
NaTl3Hg5 | GGA-PBE | optimized geometry

Cell and atoms, written as POSCAR:
```
NaTl3Hg5
1.0
9.298 0.000 0.000
-4.649 8.052 0.000
0.000 0.000 6.794
Na Tl Hg
2 6 10
Cartesian
0.000 0.000 0.000
0.000 0.000 3.397
-1.688 2.924 1.699
-2.961 5.128 5.096
3.376 0.000 1.699
1.688 2.924 5.096
5.922 0.000 5.096
2.961 5.128 1.699
-1.411 2.444 5.096
-3.238 5.608 1.699
2.822 0.000 5.096
1.411 2.444 1.699
0.000 5.368 0.000
0.000 5.368 3.397
4.649 2.684 0.000
4.649 2.684 3.397
6.476 0.000 1.699
3.238 5.608 5.096
```

Calculated values
The formation energy comes out at -0.0596 eV/atom. The total energy comes out at -20.9 eV/cell.



7.
Y5Ho4Tm3 | GGA-PBE | optimized geometry

Cell and atoms, written as POSCAR:
```
Y5Ho4Tm3
1.0
8.040 -2.912 0.000
8.040 2.912 0.000
-4.125 0.000 8.230
Y Ho Tm
5 4 3
Cartesian
0.000 0.000 0.000
2.717 0.000 5.066
5.621 0.000 2.430
6.333 0.000 5.800
9.238 0.000 3.164
-0.518 0.000 3.623
-0.165 0.000 7.231
12.120 0.000 0.999
12.473 0.000 4.608
2.418 0.000 1.900
8.040 0.000 0.000
9.537 0.000 6.330
```

Calculated values
The formation energy comes out at 0.2442 eV/atom. The total energy comes out at -61.1 eV/cell.



8.
GeH | GGA-PBE | optimized geometry

Cell and atoms, written as POSCAR:
```
GeH
1.0
3.238 0.000 0.000
0.000 9.445 0.000
0.000 0.000 5.869
Ge H
6 6
Cartesian
0.810 0.472 0.886
0.810 4.251 0.886
0.810 7.084 3.720
2.429 2.361 2.149
2.429 5.194 4.982
2.429 8.973 4.982
0.810 2.361 3.033
0.810 5.438 1.943
0.810 8.729 1.943
2.429 0.716 3.925
2.429 4.007 3.925
2.429 7.084 2.835
```

Calculated values
The total energy comes out at -43.7 eV/cell.



9.
BaNaPd | GGA-PBE | optimized geometry

Cell and atoms, written as POSCAR:
```
BaNaPd
1.0
7.505 0.000 0.000
0.000 7.505 0.000
0.000 0.000 7.505
Ba Na Pd
4 4 4
Cartesian
0.000 0.000 0.000
0.000 3.753 3.753
3.753 0.000 3.753
3.753 3.753 0.000
0.000 0.000 3.753
0.000 3.753 0.000
3.753 0.000 0.000
3.753 3.753 3.753
1.876 1.876 1.876
1.876 5.629 5.629
5.629 1.876 5.629
5.629 5.629 1.876
```

Calculated values
The formation energy comes out at -0.2047 eV/atom. The total energy comes out at -36.2 eV/cell.



10.
YZn2Se | GGA-PBE | optimized geometry

Cell and atoms, written as POSCAR:
```
YZn2Se
1.0
3.868 0.000 0.000
-1.934 3.350 0.000
0.000 0.000 21.460
Y Zn Se
3 6 3
Cartesian
0.000 0.000 0.000
0.000 2.233 14.307
1.934 1.117 7.153
0.000 0.000 5.081
0.000 0.000 16.380
0.000 2.233 9.226
0.000 2.233 19.387
1.934 1.117 2.073
1.934 1.117 12.234
0.000 0.000 10.730
0.000 2.233 3.577
1.934 1.117 17.884
```

Calculated values
The value obtained for the uncorrected formation energy is -0.2568 eV per atom. The total energy comes out at -40.6 eV/cell.



11.
TbDyYTm | GGA-PBE | optimized geometry

Cell and atoms, written as POSCAR:
```
TbDyYTm
1.0
5.007 0.000 0.000
0.000 5.007 0.000
0.000 0.000 10.005
Tb Dy Y Tm
2 2 2 2
Cartesian
0.000 0.000 0.000
2.504 2.504 5.003
0.000 2.504 2.501
2.504 0.000 7.504
0.000 2.504 7.504
2.504 0.000 2.501
0.000 0.000 5.003
2.504 2.504 0.000
```

Calculated values
The formation energy comes out at 0.0232 eV/atom. The total energy comes out at -40.2 eV/cell.



12.
KMgTl | GGA-PBE | optimized geometry

Cell and atoms, written as POSCAR:
```
KMgTl
1.0
3.738 0.000 0.000
-1.869 3.237 0.000
0.000 0.000 8.438
K Mg Tl
1 1 1
Cartesian
0.000 0.000 0.000
0.000 2.158 3.213
1.869 1.079 5.473
```

Calculated values
The formation energy comes out at 0.1024 eV/atom. The total energy comes out at -4.8 eV/cell.



13.
Sc3AuO | GGA-PBE | optimized geometry

Cell and atoms, written as POSCAR:
```
Sc3AuO
1.0
7.835 0.000 0.000
0.000 5.735 0.000
-3.576 0.000 7.797
Sc Au O
12 4 4
Cartesian
-0.796 0.486 2.733
-2.584 2.382 6.631
-0.444 3.287 4.250
1.344 5.315 0.351
0.072 0.706 6.021
1.860 2.162 2.123
2.399 3.573 5.674
4.187 5.029 1.776
2.915 0.420 7.446
4.703 2.448 3.547
6.843 3.353 1.166
5.055 5.249 5.064
-0.154 3.861 6.971
1.634 4.741 3.072
2.625 0.994 4.725
4.413 1.874 0.826
-1.550 1.379 4.659
0.238 1.488 0.760
4.021 4.247 7.036
5.809 4.355 3.138
```

Calculated values
The value obtained for the uncorrected formation energy is -1.4493 eV per atom. The total energy comes out at -137.9 eV/cell.



14.
FeBRh2N | GGA-PBE | optimized geometry

Cell and atoms, written as POSCAR:
```
FeBRh2N
1.0
4.425 0.000 0.000
0.000 4.425 0.000
0.000 0.000 3.639
Fe B Rh N
1 1 2 1
Cartesian
0.000 0.000 0.000
0.000 0.000 1.820
0.000 2.212 0.000
2.212 0.000 0.000
2.212 2.212 1.820
```

Calculated values
The value obtained for the uncorrected formation energy is 2.0442 eV per atom. The total energy comes out at -27.9 eV/cell.



15.
LiDyMg3 | GGA-PBE | optimized geometry

Cell and atoms, written as POSCAR:
```
LiDyMg3
1.0
3.157 0.000 0.000
0.000 6.433 0.000
0.000 0.000 12.214
Li Dy Mg
2 2 6
Cartesian
0.789 1.608 0.273
2.368 4.825 11.941
0.789 4.825 4.978
2.368 1.608 7.236
0.789 0.062 9.920
0.789 1.608 4.366
0.789 3.155 9.920
2.368 3.279 2.294
2.368 4.825 7.848
2.368 6.371 2.294
```

Calculated values
The formation energy comes out at 0.0603 eV/atom. The total energy comes out at -22.0 eV/cell.



16.
Sr2BiIrRu | GGA-PBE | optimized geometry

Cell and atoms, written as POSCAR:
```
Sr2BiIrRu
1.0
5.825 0.000 0.000
0.000 5.825 0.000
0.000 0.000 4.663
Sr Bi Ir Ru
2 1 1 1
Cartesian
0.000 2.913 0.000
2.913 0.000 0.000
0.000 0.000 2.332
2.913 2.913 0.000
2.913 2.913 2.332
```

Calculated values
The formation energy comes out at 0.1844 eV/atom. The total energy comes out at -24.5 eV/cell.



17.
TlTcAs2 | GGA-PBE | optimized geometry

Cell and atoms, written as POSCAR:
```
TlTcAs2
1.0
3.065 0.000 0.000
0.000 4.836 0.000
0.000 0.000 11.246
Tl Tc As
2 2 4
Cartesian
0.000 0.000 0.000
1.533 2.418 5.623
0.000 0.000 5.623
1.533 2.418 0.000
0.000 2.418 2.058
0.000 2.418 9.189
1.533 0.000 3.566
1.533 0.000 7.681
```

Calculated values
The formation energy comes out at 0.2855 eV/atom. The total energy comes out at -41.8 eV/cell.



18.
BTeHRhAu | GGA-PBE | optimized geometry

Cell and atoms, written as POSCAR:
```
BTeHRhAu
1.0
16.525 0.000 0.000
0.000 2.971 0.000
-0.495 0.000 3.076
B Te H Rh Au
2 2 2 2 2
Cartesian
0.000 0.000 0.000
8.263 1.486 0.000
4.244 0.000 0.657
12.507 1.486 0.657
6.584 1.486 2.200
14.847 0.000 2.200
7.410 0.000 1.434
15.672 1.486 1.434
1.741 1.486 0.281
10.003 0.000 0.281
```

Calculated values
The total energy comes out at -46.2 eV/cell.



19.
Be2IrRu | GGA-PBE | optimized geometry

Cell and atoms, written as POSCAR:
```
Be2IrRu
1.0
2.764 0.000 0.000
0.000 4.496 0.000
0.000 0.000 7.860
Be Ir Ru
4 2 2
Cartesian
0.000 0.000 0.000
0.000 2.248 1.836
1.382 0.000 1.836
1.382 2.248 0.000
0.000 2.248 6.039
1.382 0.000 6.039
0.000 0.000 3.662
1.382 2.248 3.662
```

Calculated values
The formation energy comes out at 0.1824 eV/atom. The total energy comes out at -49.7 eV/cell.



20.
BeTlCd | GGA-PBE | optimized geometry

Cell and atoms, written as POSCAR:
```
BeTlCd
1.0
4.401 0.000 0.000
-2.201 3.812 0.000
0.000 0.000 3.855
Be Tl Cd
1 1 1
Cartesian
0.000 0.000 0.000
2.201 1.271 1.858
0.000 2.541 3.783
```

Calculated values
The formation energy comes out at 0.5370 eV/atom. The total energy comes out at -5.4 eV/cell.